{
  "formula": "Rb2ZrSbC",
  "functional": "PBE-GGA",
  "state": "optimized geometry",
  "lattice_angstrom": [[-6.9129, -1.6660, -1.3811], [-0.5075, -1.0603, 3.8193], [-1.9587, 6.7825, 1.6226]],
  "species": ["Sb", "C", "Rb", "Rb", "Zr"],
  "frac_coords": [[0.5000, 0.5000, 0.5000], [0.0000, 0.5000, 0.0000], [0.0000, 0.0000, 0.5000], [0.5000, 0.0000, 0.0000], [0.0000, 0.0000, 0.0000]],
  "e_form_raw_ev_per_atom": 1.006,
  "crystal_system": "tetragonal",
  "spacegroup": "P4/mmm",
  "total_energy_ev_per_atom": -3.759
}